{"formula": "La2GeH", "functional": "PBE", "state": "relaxed", "lattice": [[-3.146, 2.112, 2.042], [1.830, -3.752, 6.701], [7.341, 8.350, 2.671]], "species": ["H", "La", "La", "Ge", "Ge", "La", "La", "La", "H", "H", "H", "La", "Ge", "Ge", "La", "La"], "frac_coords": [[0.250, 0.265, 0.366], [0.250, 0.464, 0.202], [0.750, 0.805, 0.042], [0.250, 0.337, 0.664], [0.250, 0.837, 0.836], [0.250, 0.964, 0.298], [0.750, 0.305, 0.458], [0.250, 0.195, 0.958], [0.750, 0.735, 0.634], [0.250, 0.765, 0.134], [0.750, 0.235, 0.866], [0.750, 0.536, 0.798], [0.750, 0.663, 0.336], [0.750, 0.163, 0.164], [0.250, 0.695, 0.542], [0.750, 0.036, 0.702]], "de_polymorph_mev_per_atom": 0, "crystal_system": "orthorhombic", "magmom_total_mub_per_fu": 0.00, "space_group": "Pnma (62)"}

***

{"formula": "LaGe3H", "functional": "PBE", "state": "relaxed", "lattice": [[5.782, 0.000, 0.000], [0.000, 5.782, 0.000], [0.000, 0.000, 5.782]], "species": ["Ge", "La", "Ge", "H", "Ge"], "frac_coords": [[0.500, 0.000, 0.000], [0.000, 0.000, 0.000], [0.000, 0.000, 0.500], [0.500, 0.500, 0.500], [0.000, 0.500, 0.000]], "de_polymorph_mev_per_atom": 1505, "crystal_system": "cubic", "magmom_total_mub_per_fu": 0.96, "space_group": "Pm-3m (221)"}

***

{"formula": "La2GeH", "functional": "PBE", "state": "relaxed", "lattice": [[4.312, 0.000, 0.000], [2.156, 3.735, 0.000], [2.156, 1.245, 6.155]], "species": ["H", "La", "Ge", "La"], "frac_coords": [[0.500, 0.500, 0.500], [0.757, 0.757, 0.729], [0.000, 0.000, 0.000], [0.243, 0.243, 0.271]], "de_polymorph_mev_per_atom": 122, "crystal_system": "trigonal", "magmom_total_mub_per_fu": 0.00, "space_group": "R-3m (166)"}

***

{"formula": "Li2LaGe2H", "functional": "PBE", "state": "relaxed", "lattice": [[4.267, 0.000, 0.000], [0.000, 4.267, 0.000], [0.000, 0.000, 5.651]], "species": ["Ge", "H", "Ge", "La", "Li", "Li"], "frac_coords": [[0.500, 0.500, 0.715], [0.000, 0.000, 0.000], [0.500, 0.500, 0.285], [0.000, 0.000, 0.500], [0.500, 0.000, 0.000], [0.000, 0.500, 0.000]], "crystal_system": "tetragonal", "magmom_total_mub_per_fu": 0.00, "space_group": "P4/mmm (123)"}

***

| no. | E (eV/atom) |
| --- | --- |
| 1 | -5.15 |
| 2 | -3.11 |
| 3 | -5.03 |
| 4 | -4.07 |